CuTcSn2: optimized geometry, PBE-GGA.

POSCAR file:
```
CuTcSn2
1.0
3.100 0.000 0.000
-1.550 2.685 0.000
0.000 0.000 28.927
Cu Tc Sn
3 3 6
Cartesian
0.000 0.000 0.000
0.000 1.790 19.285
1.550 0.895 9.642
0.000 0.000 14.463
0.000 1.790 4.821
1.550 0.895 24.106
0.000 0.000 11.771
0.000 0.000 17.156
0.000 1.790 2.129
0.000 1.790 7.513
1.550 0.895 21.414
1.550 0.895 26.798
```

Values from the calculation:
Magnetic moment ... 1.58 μB/f.u.
DOS at the Fermi energy ... 7.0 states/eV per cell
Total DFT energy (no corrections) ... -4.972 eV/atom
Symmetry ... R-3m, No. 166
Energy relative to the elements ... 0.645 eV/atom
Energy above the lowest structure with this stoichiometry ... 0.516 eV/atom